# BaCd2CoSn | the Alexandria database | PBE | optimized geometry
data_BaCd2CoSn
_cell_length_a 5.167
_cell_length_b 5.167
_cell_length_c 4.939
_cell_angle_alpha 90.00
_cell_angle_beta 90.00
_cell_angle_gamma 90.00
_space_group_name_H-M_alt 'P 4/m m m'
_space_group_IT_number 123
_space_group_name_Hall '-P 4 2'
loop_
_atom_site_label
_atom_site_type_symbol
_atom_site_fract_x
_atom_site_fract_y
_atom_site_fract_z
Ba1 Ba 0.000 0.000 0.000
Cd1 Cd 0.000 0.500 0.500
Co1 Co 0.500 0.500 0.500
Sn1 Sn 0.500 0.500 0.000
# ΔE_f (eV per atom): -0.192
# Total magnetic moment (μB/cell): 0.85